{
  "formula": "CrMoRh2",
  "functional": "PBEsol",
  "state": "relaxed",
  "dft_energy_ev_per_atom": -9.51,
  "m_tot_mub_per_cell": 0.00,
  "e_form_ev_per_atom": 0.060,
  "relative_energy_ev_per_fu": 0.72,
  "lattice": [[1.3323, 0.7692, 8.7924], [-1.3323, 0.7692, 8.7924], [0.0000, -1.5384, 8.7924]],
  "species": ["Cr", "Mo", "Rh", "Rh"],
  "fractional_positions": [[0.0000, 0.0000, 0.0000], [0.7542, 0.7542, 0.7542], [0.2588, 0.2588, 0.2588], [0.5036, 0.5036, 0.5036]]
}

---

{
  "formula": "AlTc2Os",
  "functional": "PBEsol",
  "state": "relaxed",
  "dft_energy_ev_per_atom": -9.78,
  "m_tot_mub_per_cell": 0.00,
  "e_form_ev_per_atom": -0.065,
  "lattice": [[4.5716, -1.3843, 0.0000], [4.5716, 1.3843, 0.0000], [-0.8377, 0.0000, 4.4218]],
  "species": ["Al", "Tc", "Tc", "Os"],
  "fractional_positions": [[0.0000, 0.0000, 0.0000], [0.2443, 0.2443, 0.7457], [0.7557, 0.7557, 0.2543], [0.5000, 0.5000, 0.5000]]
}

---

{
  "formula": "CeAl4Co",
  "functional": "PBEsol",
  "state": "relaxed",
  "dft_energy_ev_per_atom": -5.59,
  "m_tot_mub_per_cell": 1.82,
  "e_form_ev_per_atom": -0.473,
  "lattice": [[7.5372, 0.0000, 0.0000], [0.0000, 4.0060, 0.0000], [0.0000, 0.0000, 6.7361]],
  "species": ["Ce", "Ce", "Al", "Al", "Al", "Al", "Al", "Al", "Al", "Al", "Co", "Co"],
  "fractional_positions": [[0.2500, 0.0000, 0.1150], [0.7500, 0.0000, 0.8850], [0.0000, 0.0000, 0.5000], [0.0685, 0.5000, 0.8033], [0.2500, 0.5000, 0.4549], [0.4315, 0.5000, 0.8033], [0.5000, 0.0000, 0.5000], [0.5685, 0.5000, 0.1967], [0.7500, 0.5000, 0.5451], [0.9315, 0.5000, 0.1967], [0.2500, 0.0000, 0.6963], [0.7500, 0.0000, 0.3037]]
}

---

{
  "formula": "ScPAu",
  "functional": "PBEsol",
  "state": "relaxed",
  "dft_energy_ev_per_atom": -5.97,
  "m_tot_mub_per_cell": 0.00,
  "e_form_ev_per_atom": -0.534,
  "lattice": [[0.0000, 3.0994, 3.0994], [3.0994, 0.0000, 3.0994], [3.0994, 3.0994, 0.0000]],
  "species": ["Sc", "P", "Au"],
  "fractional_positions": [[0.0000, 0.0000, 0.0000], [0.7500, 0.7500, 0.7500], [0.2500, 0.2500, 0.2500]]
}

---

{
  "formula": "KCo2Ru",
  "functional": "PBEsol",
  "state": "relaxed",
  "dft_energy_ev_per_atom": -5.92,
  "m_tot_mub_per_cell": 0.00,
  "e_form_ev_per_atom": 0.772,
  "relative_energy_ev_per_fu": 0.00,
  "lattice": [[2.6956, 0.0000, 0.0000], [0.0000, 2.6956, 0.0000], [0.0000, 0.0000, 8.3957]],
  "species": ["K", "Co", "Co", "Ru"],
  "fractional_positions": [[0.0000, 0.0000, 0.0000], [0.5000, 0.5000, 0.3149], [0.5000, 0.5000, 0.6851], [0.0000, 0.0000, 0.5000]]
}

---

{
  "formula": "ReHg2Pb",
  "functional": "PBEsol",
  "state": "relaxed",
  "dft_energy_ev_per_atom": -3.76,
  "m_tot_mub_per_cell": 0.78,
  "e_form_ev_per_atom": 0.860,
  "lattice": [[-2.1054, 2.1054, 4.4908], [2.1054, -2.1054, 4.4908], [2.1054, 2.1054, -4.4908]],
  "species": ["Re", "Hg", "Hg", "Pb"],
  "fractional_positions": [[0.0000, 0.0000, 0.0000], [0.5000, 0.5000, 0.0000], [0.7500, 0.2500, 0.5000], [0.2500, 0.7500, 0.5000]]
}

---

{
  "formula": "ZrCo6Mo",
  "functional": "PBEsol",
  "state": "relaxed",
  "dft_energy_ev_per_atom": -8.55,
  "m_tot_mub_per_cell": 0.01,
  "e_form_ev_per_atom": -0.135,
  "lattice": [[3.5944, -5.0788, 0.0000], [3.5944, 5.0788, 0.0000], [0.0000, 0.0000, 10.1822]],
  "species": ["Zr", "Zr", "Zr", "Zr", "Co", "Co", "Co", "Co", "Co", "Co", "Co", "Co", "Co", "Co", "Co", "Co", "Co", "Co", "Co", "Co", "Co", "Co", "Co", "Co", "Co", "Co", "Co", "Co", "Mo", "Mo", "Mo", "Mo"],
  "fractional_positions": [[0.0000, 0.0000, 0.2500], [0.0000, 0.0000, 0.7500], [0.2476, 0.7524, 0.0000], [0.7524, 0.2476, 0.0000], [0.0000, 0.0000, 0.0000], [0.0000, 0.0000, 0.5000], [0.1296, 0.3843, 0.3801], [0.1296, 0.3843, 0.6199], [0.1352, 0.3813, 0.1306], [0.1352, 0.3813, 0.8694], [0.2552, 0.7448, 0.2584], [0.2552, 0.7448, 0.7416], [0.3813, 0.1352, 0.1306], [0.3813, 0.1352, 0.8694], [0.3843, 0.1296, 0.3801], [0.3843, 0.1296, 0.6199], [0.5000, 0.5000, 0.0000], [0.5000, 0.5000, 0.5000], [0.6157, 0.8704, 0.3801], [0.6157, 0.8704, 0.6199], [0.6187, 0.8648, 0.1306], [0.6187, 0.8648, 0.8694], [0.7448, 0.2552, 0.2584], [0.7448, 0.2552, 0.7416], [0.8648, 0.6187, 0.1306], [0.8648, 0.6187, 0.8694], [0.8704, 0.6157, 0.3801], [0.8704, 0.6157, 0.6199], [0.2470, 0.7530, 0.5000], [0.5000, 0.5000, 0.2485], [0.5000, 0.5000, 0.7515], [0.7530, 0.2470, 0.5000]]
}

---

{
  "formula": "LaSi2Au2",
  "functional": "PBEsol",
  "state": "relaxed",
  "formation_energy_uncorrected_ev_per_atom": -0.727,
  "dft_energy_ev_per_atom": -5.66,
  "m_tot_mub_per_cell": 0.00,
  "lattice": [[-2.1619, 2.1619, 5.0824], [2.1619, -2.1619, 5.0824], [2.1619, 2.1619, -5.0824]],
  "species": ["La", "Si", "Si", "Au", "Au"],
  "fractional_positions": [[0.0000, 0.0000, 0.0000], [0.3842, 0.3842, 0.0000], [0.6158, 0.6158, 0.0000], [0.2500, 0.7500, 0.5000], [0.7500, 0.2500, 0.5000]]
}

---

{
  "formula": "Co2Pt",
  "functional": "PBEsol",
  "state": "relaxed",
  "dft_energy_ev_per_atom": -7.52,
  "m_tot_mub_per_cell": 3.72,
  "e_form_ev_per_atom": -0.036,
  "lattice": [[-1.3126, 1.3126, 5.2529], [1.3126, -1.3126, 5.2529], [1.3126, 1.3126, -5.2529]],
  "species": ["Co", "Co", "Pt"],
  "fractional_positions": [[0.1770, 0.1770, 0.0000], [0.8230, 0.8230, 0.0000], [0.5000, 0.5000, 0.0000]]
}

---

{
  "formula": "MgCdSi2",
  "functional": "PBEsol",
  "state": "relaxed",
  "formation_energy_uncorrected_ev_per_atom": 0.310,
  "dft_energy_ev_per_atom": -3.29,
  "m_tot_mub_per_cell": 0.00,
  "relative_energy_ev_per_fu": 0.47,
  "lattice": [[0.0000, 3.3072, 3.3072], [3.3072, 0.0000, 3.3072], [3.3072, 3.3072, 0.0000]],
  "species": ["Mg", "Cd", "Si", "Si"],
  "fractional_positions": [[0.0000, 0.0000, 0.0000], [0.2500, 0.2500, 0.2500], [0.5000, 0.5000, 0.5000], [0.7500, 0.7500, 0.7500]]
}

---

{
  "formula": "IrRh7",
  "functional": "PBEsol",
  "state": "relaxed",
  "dft_energy_ev_per_atom": -8.36,
  "m_tot_mub_per_cell": 0.00,
  "e_form_ev_per_atom": -0.008,
  "lattice": [[0.0000, 3.7814, 3.7814], [3.7814, 0.0000, 3.7814], [3.7814, 3.7814, 0.0000]],
  "species": ["Ir", "Rh", "Rh", "Rh", "Rh", "Rh", "Rh", "Rh"],
  "fractional_positions": [[0.0000, 0.0000, 0.0000], [0.0000, 0.0000, 0.5000], [0.0000, 0.5000, 0.0000], [0.0000, 0.5000, 0.5000], [0.5000, 0.0000, 0.0000], [0.5000, 0.0000, 0.5000], [0.5000, 0.5000, 0.0000], [0.5000, 0.5000, 0.5000]]
}

---

{
  "formula": "CaLaMoPd2",
  "functional": "PBEsol",
  "state": "relaxed",
  "dft_energy_ev_per_atom": -5.75,
  "m_tot_mub_per_cell": 0.00,
  "e_form_ev_per_atom": 0.479,
  "relative_energy_ev_per_fu": 0.00,
  "lattice": [[4.9069, 0.0000, 0.0000], [0.0000, 4.9069, 0.0000], [0.0000, 0.0000, 4.8966]],
  "species": ["Ca", "La", "Mo", "Pd", "Pd"],
  "fractional_positions": [[0.0000, 0.0000, 0.0000], [0.5000, 0.5000, 0.0000], [0.0000, 0.0000, 0.5000], [0.0000, 0.5000, 0.5000], [0.5000, 0.0000, 0.5000]]
}